This record from Alexandria via LeMat-Bulk describes crystalline Zn2Cr3O8 at its relaxed geometry. The functional is GGA+U.

Cell lengths 5.8797, 5.8797, 9.5105 Å; angles 90.00, 90.00, 120.00 degrees
Fractional coordinates of all 26 atoms:
O: 0.5185 0.4815 0.8620
O: 0.8383 0.6767 0.1472
O: 0.4815 0.9630 0.3620
O: 0.1617 0.3233 0.6472
O: 0.0000 0.0000 0.3512
O: 0.1617 0.8383 0.6472
O: 0.6767 0.8383 0.6472
O: 0.4815 0.5185 0.3620
O: 0.3333 0.6667 0.1332
O: 0.3233 0.1617 0.1472
O: 0.0000 0.0000 0.8512
O: 0.9630 0.4815 0.8620
O: 0.5185 0.0370 0.8620
O: 0.0370 0.5185 0.3620
O: 0.6667 0.3333 0.6332
O: 0.8383 0.1617 0.1472
Cr: 0.8369 0.6738 0.7431
Cr: 0.1631 0.3262 0.2431
Cr: 0.8369 0.1631 0.7431
Cr: 0.3262 0.1631 0.7431
Cr: 0.1631 0.8369 0.2431
Cr: 0.6738 0.8369 0.2431
Zn: 0.6667 0.3333 0.4251
Zn: 0.3333 0.6667 0.9251
Zn: 0.6667 0.3333 0.0271
Zn: 0.3333 0.6667 0.5271

Summary:
For the energy relative to the lowest polymorph listed for this composition, the calculation gives 0 meV per atom. For the total magnetization, the calculation gives 5.99 μB/f.u.